VASP calculation (PBE) on crystalline Sr3Ga6Ag5 at its relaxed geometry.

Lattice parameters (Å, degrees): 4.5877 9.9434 13.5929 90.00 90.00 90.00
Element x y z (fractional)
Sr1 0.0000 0.2483 0.6964
Sr2 0.5000 0.7517 0.1964
Sr3 0.5000 0.7517 0.8036
Sr4 0.0000 0.2514 0.0000
Sr5 0.5000 0.7486 0.5000
Sr6 0.0000 0.2483 0.3036
Ga1 0.0000 0.9754 0.8570
Ga2 0.5000 0.0246 0.6430
Ga3 0.5000 0.4047 0.8288
Ga4 0.5000 0.5572 0.0000
Ga5 0.0000 0.4428 0.5000
Ga6 0.0000 0.5953 0.6712
Ga7 0.0000 0.5953 0.3288
Ga8 0.5000 0.9579 0.0000
Ga9 0.0000 0.9754 0.1430
Ga10 0.5000 0.4047 0.1712
Ga11 0.0000 0.0421 0.5000
Ga12 0.5000 0.0246 0.3570
Ag1 0.0000 0.5332 0.8782
Ag2 0.0000 0.8761 0.6592
Ag3 0.0000 0.7778 0.0000
Ag4 0.5000 0.4668 0.6218
Ag5 0.5000 0.2222 0.5000
Ag6 0.0000 0.5332 0.1218
Ag7 0.5000 0.4668 0.3782
Ag8 0.0000 0.8761 0.3408
Ag9 0.5000 0.1239 0.8408
Ag10 0.5000 0.1239 0.1592

Results
Volume   22.15 Å³ per atom
DOS(E_F)   14.352 states/eV/cell
Formation energy   -0.296 eV per atom

***

VASP calculation (PBE) on crystalline BaAu2Br6 at its relaxed geometry.

Lattice parameters (Å, degrees): 7.5774 10.1599 10.1599 101.85 68.48 68.48
Element x y z (fractional)
Ba1 0.2500 0.1335 0.8665
Ba2 0.7500 0.8665 0.1335
Au1 0.3762 0.5623 0.7216
Au2 0.1238 0.2784 0.4377
Au3 0.6238 0.4377 0.2784
Au4 0.8762 0.7216 0.5623
Br1 0.4167 0.6986 0.5415
Br2 0.0833 0.4585 0.3014
Br3 0.5833 0.3014 0.4585
Br4 0.9167 0.5415 0.6986
Br5 0.8104 0.9135 0.4415
Br6 0.6896 0.5585 0.0865
Br7 0.1896 0.0865 0.5585
Br8 0.3104 0.4415 0.9135
Br9 0.2657 0.8146 0.9462
Br10 0.2343 0.0538 0.1854
Br11 0.7343 0.1854 0.0538
Br12 0.7657 0.9462 0.8146

Results
Raw formation energy   -6.687 eV per formula unit
Volume   34.59 Å³ per atom
DOS(E_F)   3.691 states/eV/cell

***

VASP calculation (PBE) on crystalline Ba2HIrN at its relaxed geometry.

Lattice parameters (Å, degrees): 5.6831 5.6831 3.7931 90.00 90.00 90.00
Element x y z (fractional)
H1 0.5000 0.5000 0.5000
Ir1 0.0000 0.0000 0.5000
Ba1 0.0000 0.5000 0.0000
Ba2 0.5000 0.0000 0.0000
N1 0.0000 0.0000 0.0000

Results
Volume   24.50 Å³ per atom
DOS(E_F)   1.264 states/eV/cell
Distance to the lowest polymorph of the same formula   0.0000 eV/atom

***

VASP calculation (PBE) on crystalline RbSiSbI2 at its relaxed geometry.

Lattice parameters (Å, degrees): 6.7486 6.7486 6.8875 90.00 90.00 90.00
Element x y z (fractional)
I1 0.0000 0.5000 0.0000
I2 0.5000 0.0000 0.0000
Sb1 0.0000 0.0000 0.5000
Si1 0.5000 0.5000 0.5000
Rb1 0.0000 0.0000 0.0000

Results
Raw formation energy   4.677 eV per formula unit
Volume   62.74 Å³ per atom
DOS(E_F)   9.727 states/eV/cell
Distance to the lowest polymorph of the same formula   1.1103 eV/atom